*i*
Below is a relaxed Y2InO crystal, with properties calculated at the PBE level.

Structure (CIF):
```
data_Y2InO
_cell_length_a 3.5520
_cell_length_b 3.5520
_cell_length_c 23.0905
_cell_angle_alpha 90.00
_cell_angle_beta 90.00
_cell_angle_gamma 120.00
_symmetry_space_group_name_H-M 'R -3 m'
_symmetry_Int_Tables_number 166
_symmetry_space_group_name_Hall '-R 3 2"'
loop_
_atom_site_label
_atom_site_type_symbol
_atom_site_fract_x
_atom_site_fract_y
_atom_site_fract_z
Y1 Y 0.0000 0.0000 0.2240
In1 In 0.0000 0.0000 0.0000
O1 O 0.0000 0.0000 0.5000
```

---

*ii*
Below is a relaxed Y2InO crystal, with properties calculated at the PBE level.

Structure (CIF):
```
data_Y2InO
_cell_length_a 6.4307
_cell_length_b 6.4307
_cell_length_c 8.7978
_cell_angle_alpha 90.00
_cell_angle_beta 90.15
_cell_angle_gamma 90.00
_symmetry_space_group_name_H-M 'C 1 2/m 1'
_symmetry_Int_Tables_number 12
loop_
_symmetry_equiv_pos_as_xyz
'x,y,z'
'-x,-y,-z'
'-x,y,-z'
'x,-y,z'
'x+1/2,y+1/2,z'
'-x+1/2,-y+1/2,-z'
'-x+1/2,y+1/2,-z'
'x+1/2,-y+1/2,z'
loop_
_atom_site_label
_atom_site_type_symbol
_atom_site_fract_x
_atom_site_fract_y
_atom_site_fract_z
Y1 Y 0.0000 0.2500 0.0000
Y2 Y 0.2491 0.0000 0.6716
In1 In 0.2490 0.5000 0.6991
O1 O 0.2496 0.0000 0.9313
```

---

Short version: *i* is the least stable of them.

---

*i*
Below is a relaxed ZnInO2 crystal, with properties calculated at the PBE level.

Structure (CIF):
```
data_ZnInO2
_cell_length_a 3.3113
_cell_length_b 3.3113
_cell_length_c 18.4415
_cell_angle_alpha 90.00
_cell_angle_beta 90.00
_cell_angle_gamma 120.00
_symmetry_space_group_name_H-M 'R -3 m'
_symmetry_Int_Tables_number 166
_symmetry_space_group_name_Hall '-R 3 2"'
loop_
_atom_site_label
_atom_site_type_symbol
_atom_site_fract_x
_atom_site_fract_y
_atom_site_fract_z
Zn1 Zn 0.0000 0.0000 0.0000
In1 In 0.0000 0.0000 0.5000
O1 O 0.0000 0.0000 0.1069
```

---

*ii*
Below is a relaxed ZnInO2 crystal, with properties calculated at the PBE level.

Structure (CIF):
```
data_ZnInO2
_cell_length_a 5.7704
_cell_length_b 5.7704
_cell_length_c 5.7704
_cell_angle_alpha 90.00
_cell_angle_beta 90.00
_cell_angle_gamma 90.00
_symmetry_space_group_name_H-M 'F m -3 m'
_symmetry_Int_Tables_number 225
_symmetry_space_group_name_Hall '-F 4 2 3'
loop_
_atom_site_label
_atom_site_type_symbol
_atom_site_fract_x
_atom_site_fract_y
_atom_site_fract_z
Zn1 Zn 0.0000 0.0000 0.0000
In1 In 0.0000 0.0000 0.5000
O1 O 0.2500 0.2500 0.2500
```

---

Short version: *ii* is the least stable of them.

---

*i*
Below is a relaxed InOs3 crystal, with properties calculated at the PBE level.

Structure (CIF):
```
data_InOs3
_cell_length_a 3.9314
_cell_length_b 3.9314
_cell_length_c 8.0801
_cell_angle_alpha 90.00
_cell_angle_beta 90.00
_cell_angle_gamma 90.00
_symmetry_space_group_name_H-M 'I 4/m m m'
_symmetry_Int_Tables_number 139
_symmetry_space_group_name_Hall '-I 4 2'
loop_
_atom_site_label
_atom_site_type_symbol
_atom_site_fract_x
_atom_site_fract_y
_atom_site_fract_z
In1 In 0.0000 0.0000 0.0000
Os1 Os 0.0000 0.0000 0.5000
Os2 Os 0.0000 0.5000 0.2500
```

---

*ii*
Below is a relaxed InOs3 crystal, with properties calculated at the PBE level.

Structure (CIF):
```
data_InOs3
_cell_length_a 5.5793
_cell_length_b 7.9667
_cell_length_c 2.8121
_cell_angle_alpha 90.00
_cell_angle_beta 90.00
_cell_angle_gamma 90.00
_symmetry_space_group_name_H-M 'C m m m'
_symmetry_Int_Tables_number 65
_symmetry_space_group_name_Hall '-C 2 2'
loop_
_atom_site_label
_atom_site_type_symbol
_atom_site_fract_x
_atom_site_fract_y
_atom_site_fract_z
In1 In 0.0000 0.0000 0.0000
Os1 Os 0.0000 0.5000 0.0000
Os2 Os 0.2500 0.2500 0.5000
```

---

*iii*
Below is a relaxed InOs3 crystal, with properties calculated at the PBE level.

Structure (CIF):
```
data_InOs3
_cell_length_a 6.3272
_cell_length_b 6.3272
_cell_length_c 6.3272
_cell_angle_alpha 90.00
_cell_angle_beta 90.00
_cell_angle_gamma 90.00
_symmetry_space_group_name_H-M 'F m -3 m'
_symmetry_Int_Tables_number 225
_symmetry_space_group_name_Hall '-F 4 2 3'
loop_
_atom_site_label
_atom_site_type_symbol
_atom_site_fract_x
_atom_site_fract_y
_atom_site_fract_z
In1 In 0.0000 0.0000 0.0000
Os1 Os 0.0000 0.0000 0.5000
Os2 Os 0.2500 0.2500 0.2500
```

---

*iv*
Below is a relaxed InOs3 crystal, with properties calculated at the PBE level.

Structure (CIF):
```
data_InOs3
_cell_length_a 4.5181
_cell_length_b 5.6268
_cell_length_c 4.9754
_cell_angle_alpha 90.00
_cell_angle_beta 90.00
_cell_angle_gamma 90.00
_symmetry_space_group_name_H-M 'P m m n'
_symmetry_Int_Tables_number 59
loop_
_symmetry_equiv_pos_as_xyz
'x,y,z'
'-x,-y,-z'
'-x+1/2,-y+1/2,z'
'x+1/2,y+1/2,-z'
'x+1/2,-y,-z'
'-x+1/2,y,z'
'-x,y+1/2,-z'
'x,-y+1/2,z'
loop_
_atom_site_label
_atom_site_type_symbol
_atom_site_fract_x
_atom_site_fract_y
_atom_site_fract_z
In1 In 0.2500 0.2500 0.1362
Os1 Os 0.2500 0.5125 0.6328
Os2 Os 0.2500 0.7500 0.1698
```

---

Short version: *iii* is the least stable of them.

---

*i*
Below is a relaxed InOs3 crystal, with properties calculated at the PBE level.

Structure (CIF):
```
data_InOs3
_cell_length_a 5.0052
_cell_length_b 5.0052
_cell_length_c 5.0052
_cell_angle_alpha 90.00
_cell_angle_beta 90.00
_cell_angle_gamma 90.00
_symmetry_space_group_name_H-M 'P m -3 m'
_symmetry_Int_Tables_number 221
_symmetry_space_group_name_Hall '-P 4 2 3'
loop_
_atom_site_label
_atom_site_type_symbol
_atom_site_fract_x
_atom_site_fract_y
_atom_site_fract_z
In1 In 0.0000 0.0000 0.0000
Os1 Os 0.0000 0.0000 0.5000
```

---

*ii*
Below is a relaxed InOs3 crystal, with properties calculated at the PBE level.

Structure (CIF):
```
data_InOs3
_cell_length_a 2.8330
_cell_length_b 4.5005
_cell_length_c 4.9413
_cell_angle_alpha 90.00
_cell_angle_beta 90.00
_cell_angle_gamma 90.00
_symmetry_space_group_name_H-M 'P m m 2'
_symmetry_Int_Tables_number 25
loop_
_symmetry_equiv_pos_as_xyz
'x,y,z'
'-x,-y,z'
'-x,y,z'
'x,-y,z'
loop_
_atom_site_label
_atom_site_type_symbol
_atom_site_fract_x
_atom_site_fract_y
_atom_site_fract_z
In1 In 0.0000 0.0000 0.0000
Os1 Os 0.0000 0.5000 0.3326
Os2 Os 0.5000 0.0000 0.5018
Os3 Os 0.5000 0.5000 0.7897
```

---

*iii*
Below is a relaxed InOs3 crystal, with properties calculated at the PBE level.

Structure (CIF):
```
data_InOs3
_cell_length_a 2.8145
_cell_length_b 4.8689
_cell_length_c 9.4210
_cell_angle_alpha 90.00
_cell_angle_beta 90.00
_cell_angle_gamma 90.00
_symmetry_space_group_name_H-M 'C m m m'
_symmetry_Int_Tables_number 65
_symmetry_space_group_name_Hall '-C 2 2'
loop_
_atom_site_label
_atom_site_type_symbol
_atom_site_fract_x
_atom_site_fract_y
_atom_site_fract_z
In1 In 0.0000 0.0000 0.0000
Os1 Os 0.0000 0.0000 0.5000
Os2 Os 0.0000 0.5000 0.2629
```

---

Short version: *i* is the least stable of them.